# Tl2OsSe, optimized geometry, DFT PBE-GGA
data_Tl2OsSe
_cell_length_a 4.423
_cell_length_b 4.423
_cell_length_c 8.651
_cell_angle_alpha 90.00
_cell_angle_beta 90.00
_cell_angle_gamma 90.00
_space_group_name_H-M_alt 'I 4/m m m'
_space_group_IT_number 139
_space_group_name_Hall '-I 4 2'
loop_
_atom_site_label
_atom_site_type_symbol
_atom_site_fract_x
_atom_site_fract_y
_atom_site_fract_z
Tl1 Tl 0.000 0.500 0.250
Os1 Os 0.000 0.000 0.000
Se1 Se 0.000 0.000 0.500
# - energy above the lowest structure with this stoichiometry (meV/atom) = 656
# - crystal system = tetragonal
# - energy (eV per cell) = -31.15


# TlOsSe2, optimized geometry, DFT PBE-GGA
data_TlOsSe2
_cell_length_a 3.0156
_cell_length_b 3.0156
_cell_length_c 32.7609
_cell_angle_alpha 90.00
_cell_angle_beta 90.00
_cell_angle_gamma 120.00
_space_group_name_H-M_alt 'R -3 m'
_space_group_IT_number 166
_space_group_name_Hall '-R 3 2"'
loop_
_atom_site_label
_atom_site_type_symbol
_atom_site_fract_x
_atom_site_fract_y
_atom_site_fract_z
Tl1 Tl 0.0000 0.0000 0.0000
Os1 Os 0.0000 0.0000 0.5000
Se1 Se 0.0000 0.0000 0.4275
# - energy above the lowest structure with this stoichiometry (meV/atom) = 496
# - crystal system = trigonal
# - energy (eV per cell) = -55.69